[1]
# Ce2NiAs4 (PBE-GGA, optimized geometry)
data_Ce2NiAs4
_chemical_formula_sum 'Ce2 Ni1 As4'
_symmetry_space_group_name_H-M 'P -4 m 2'
_symmetry_Int_Tables_number 115
_cell_length_a 4.051
_cell_length_b 4.051
_cell_length_c 9.021
_cell_angle_alpha 90.00
_cell_angle_beta 90.00
_cell_angle_gamma 90.00
loop_
_symmetry_equiv_pos_as_xyz
'x,y,z'
'y,-x,-z'
'-x,-y,z'
'-y,x,-z'
'-x,y,z'
'-y,-x,-z'
'x,-y,z'
'y,x,-z'
loop_
_atom_site_label
_atom_site_fract_x
_atom_site_fract_y
_atom_site_fract_z
_atom_site_occupancy
Ce1 0.000 0.500 0.236 1
Ni1 0.500 0.500 0.000 1
As1 0.000 0.000 0.500 1
As2 0.000 0.500 0.866 1
As3 0.500 0.500 0.500 1
# Energy of formation from the pure elements (eV/f.u.): -6.72



[2]
# Ce2NpNi4As3 (PBE-GGA, optimized geometry)
data_Ce2NpNi4As3
_chemical_formula_sum 'Ce2 Np1 Ni4 As3'
_symmetry_space_group_name_H-M 'P -4 m 2'
_symmetry_Int_Tables_number 115
_cell_length_a 4.164
_cell_length_b 4.164
_cell_length_c 10.150
_cell_angle_alpha 90.00
_cell_angle_beta 90.00
_cell_angle_gamma 90.00
loop_
_symmetry_equiv_pos_as_xyz
'x,y,z'
'y,-x,-z'
'-x,-y,z'
'-y,x,-z'
'-x,y,z'
'-y,-x,-z'
'x,-y,z'
'y,x,-z'
loop_
_atom_site_label
_atom_site_fract_x
_atom_site_fract_y
_atom_site_fract_z
_atom_site_occupancy
Ce1 0.000 0.500 0.229 1
Np1 0.000 0.000 0.500 1
Ni1 0.000 0.000 0.000 1
Ni2 0.000 0.500 0.652 1
Ni3 0.500 0.500 0.000 1
As1 0.000 0.500 0.879 1
As2 0.500 0.500 0.500 1
# Energy of formation from the pure elements (eV/f.u.): -6.46